Record 1
# La2Zn3CoNi12

A geometry-optimized La2Zn3CoNi12 structure (GGA-PBE, Alexandria).

a = 9.1726 Å, b = 9.1726 Å, c = 9.1726 Å
α = 38.74°, β = 38.74°, γ = 38.74°
Closest atoms and distances in Å follow each position.
Element x y z (fractional)
Zn1 0.5000 0.0000 0.0000  6 Ni 2.39-2.46
Zn2 0.0000 0.0000 0.5000  6 Ni 2.39-2.46
Zn3 0.0000 0.5000 0.0000  6 Ni 2.39-2.46
Ni1 0.1873 0.5775 0.5775  4 Ni 2.37-2.38, 2 Zn 2.39
Ni2 0.0661 0.0661 0.6562  1 Co 2.30, 4 Ni 2.38-2.49, 1 Zn 2.46
Ni3 0.8127 0.4225 0.4225  4 Ni 2.37-2.38, 2 Zn 2.39
Ni4 0.5775 0.1873 0.5775  4 Ni 2.37-2.38, 2 Zn 2.39
Ni5 0.9339 0.9339 0.3438  1 Co 2.30, 4 Ni 2.38-2.49, 1 Zn 2.46
Ni6 0.5775 0.5775 0.1873  4 Ni 2.37-2.38, 2 Zn 2.39
Ni7 0.0661 0.6562 0.0661  1 Co 2.30, 4 Ni 2.38-2.49, 1 Zn 2.46
Ni8 0.9339 0.3438 0.9339  1 Co 2.30, 4 Ni 2.38-2.49, 1 Zn 2.46
Ni9 0.4225 0.4225 0.8127  4 Ni 2.37-2.38, 2 Zn 2.39
Ni10 0.3438 0.9339 0.9339  1 Co 2.30, 4 Ni 2.38-2.49, 1 Zn 2.46
Ni11 0.4225 0.8127 0.4225  4 Ni 2.37-2.38, 2 Zn 2.39
Ni12 0.6562 0.0661 0.0661  1 Co 2.30, 4 Ni 2.38-2.49, 1 Zn 2.46
La1 0.3421 0.3421 0.3421  6 Ni 2.89-3.01
La2 0.6579 0.6579 0.6579  6 Ni 2.89-3.01
Co1 0.0000 0.0000 0.0000  6 Ni 2.30

formation enthalpy at 0 K: 203 kJ/mol of formula units

---

Record 2
# La2ZnCo2Ni5

A geometry-optimized La2ZnCo2Ni5 structure (GGA-PBE, Alexandria).

a = 3.8712 Å, b = 8.8574 Å, c = 8.8574 Å
α = 90.00°, β = 90.00°, γ = 90.00°
Closest atoms and distances in Å follow each position.
Element x y z (fractional)
La1 0.0000 0.1851 0.3149  3 Co 2.54-2.71
La2 0.0000 0.6851 0.1851  3 Co 2.54-2.71
La3 0.0000 0.3149 0.8149  3 Co 2.54-2.71
La4 0.0000 0.8149 0.6851  3 Co 2.54-2.71
Ni1 0.5000 0.5565 0.7066  2 Co 2.56, 3 Ni 2.65-2.68, 2 Zn 2.71
Ni2 0.5000 0.7066 0.4435  2 Co 2.56, 3 Ni 2.65-2.68, 2 Zn 2.71
Ni3 0.5000 0.5000 0.0000  4 Co 2.39, 4 Ni 2.65
Ni4 0.5000 0.2934 0.5565  2 Co 2.56, 3 Ni 2.65-2.68, 2 Zn 2.71
Ni5 0.5000 0.7934 0.9435  2 Co 2.56, 3 Ni 2.65-2.68, 2 Zn 2.71
Ni6 0.5000 0.9435 0.2066  2 Co 2.56, 3 Ni 2.65-2.68, 2 Zn 2.71
Ni7 0.5000 0.2066 0.0565  2 Co 2.56, 3 Ni 2.65-2.68, 2 Zn 2.71
Ni8 0.5000 0.0000 0.5000  4 Co 2.39, 4 Ni 2.65
Ni9 0.5000 0.4435 0.2934  2 Co 2.56, 3 Ni 2.65-2.68, 2 Zn 2.71
Ni10 0.5000 0.0565 0.7934  2 Co 2.56, 3 Ni 2.65-2.68, 2 Zn 2.71
Co1 0.0000 0.1122 0.6122  6 Ni 2.39-2.56, 1 La 2.54
Co2 0.0000 0.6122 0.8878  6 Ni 2.39-2.56, 1 La 2.54
Co3 0.0000 0.8878 0.3878  6 Ni 2.39-2.56, 1 La 2.54
Co4 0.0000 0.3878 0.1122  6 Ni 2.39-2.56, 1 La 2.54
Zn1 0.0000 0.0000 0.0000  8 Ni 2.71
Zn2 0.0000 0.5000 0.5000  8 Ni 2.71

formation enthalpy at 0 K: -88 kJ/mol of formula units

---

Record 3
# LaNpCo4

A geometry-optimized LaNpCo4 structure (GGA-PBE, Alexandria).

a = 5.0602 Å, b = 5.0602 Å, c = 5.0602 Å
α = 60.00°, β = 60.00°, γ = 60.00°
Closest atoms and distances in Å follow each position.
Element x y z (fractional)
Co1 0.6266 0.6266 0.1203  6 Co 2.50-2.56
Co2 0.1203 0.6266 0.6266  6 Co 2.50-2.56
Co3 0.6266 0.6266 0.6266  6 Co 2.50-2.56
Co4 0.6266 0.1203 0.6266  6 Co 2.50-2.56
La1 0.2500 0.2500 0.2500  12 Co 2.97, 4 Np 3.10
Np1 0.0000 0.0000 0.0000  12 Co 2.96, 4 La 3.10

formation enthalpy at 0 K: -8 kJ/mol of formula units

---

Record 4
# LaNpCo10

A geometry-optimized LaNpCo10 structure (GGA-PBE, Alexandria).

a = 4.0033 Å, b = 4.9369 Å, c = 8.4953 Å
α = 90.00°, β = 90.00°, γ = 90.00°
Closest atoms and distances in Å follow each position.
Element x y z (fractional)
Co1 0.5000 0.5000 0.0000  8 Co 2.50-2.61
Co2 0.5000 0.0000 0.5000  8 Co 2.38-2.41
Co3 0.5000 0.7471 0.7426  8 Co 2.40-2.50
Co4 0.5000 0.7471 0.2574  8 Co 2.40-2.50
Co5 0.0000 0.0000 0.6526  7 Co 2.38-2.59
Co6 0.0000 0.0000 0.3474  7 Co 2.38-2.59
Co7 0.5000 0.2529 0.2574  8 Co 2.40-2.50
Co8 0.0000 0.5000 0.8035  6 Co 2.40-2.61, 1 Np 2.58
Co9 0.5000 0.2529 0.7426  8 Co 2.40-2.50
Co10 0.0000 0.5000 0.1965  6 Co 2.40-2.61, 1 Np 2.58
La1 0.0000 0.0000 0.0000  18 Co 2.95-3.22
Np1 0.0000 0.5000 0.5000  6 Co 2.58-2.79

formation enthalpy at 0 K: -36 kJ/mol of formula units

---

Record 5
# LaNp2Co9

A geometry-optimized LaNp2Co9 structure (GGA-PBE, Alexandria).

a = 4.9141 Å, b = 4.9141 Å, c = 8.6533 Å
α = 73.50°, β = 73.50°, γ = 60.00°
Closest atoms and distances in Å follow each position.
Element x y z (fractional)
Co1 0.5838 0.5838 0.7493  7 Co 2.45-2.50
Co2 0.5838 0.0831 0.7493  7 Co 2.45-2.50
Co3 0.6668 0.6668 0.9995  6 Co 2.49-2.50
Co4 0.4162 0.9169 0.2507  7 Co 2.45-2.50
Co5 0.5000 0.5000 0.5000  6 Co 2.48
Co6 0.3332 0.3332 0.0005  6 Co 2.49-2.50
Co7 0.4162 0.4162 0.2507  7 Co 2.45-2.50
Co8 0.9169 0.4162 0.2507  7 Co 2.45-2.50
Co9 0.0831 0.5838 0.7493  7 Co 2.45-2.50
Np1 0.8601 0.8601 0.4197  12 Co 2.82-3.04, 3 Np 3.13
Np2 0.1399 0.1399 0.5803  12 Co 2.82-3.04, 3 Np 3.13
La1 0.0000 0.0000 0.0000  6 Co 2.84

formation enthalpy at 0 K: -70 kJ/mol of formula units

---

Record 6
# La4NpCo5

A geometry-optimized La4NpCo5 structure (GGA-PBE, Alexandria).

a = 4.9327 Å, b = 6.9803 Å, c = 6.9866 Å
α = 83.29°, β = 71.65°, γ = 71.70°
Closest atoms and distances in Å follow each position.
Element x y z (fractional)
La1 0.4939 0.7126 0.2813  2 Co 2.69-2.99
La2 0.1529 0.2983 0.2982  1 Co 2.56
La3 0.4938 0.2813 0.7126  3 Co 2.69-3.02
La4 0.7830 0.7250 0.7248  7 Co 2.98-3.25
Co1 0.1949 0.9861 0.6402  1 Np 2.27
Co2 0.5300 0.0391 0.0390  2 Np 2.45-2.60, 3 La 2.56-2.69, 2 Co 2.64-2.65
Co3 0.7904 0.0127 0.3232  1 Np 2.33
Co4 0.1953 0.6394 0.9857  1 Np 2.27
Co5 0.7915 0.3231 0.0120  1 Np 2.33
Np1 0.0641 0.9823 0.9830  5 Co 2.27-2.45

formation enthalpy at 0 K: 30 kJ/mol of formula units

---

Results for M_tot: 3.15 2.37 0.79 9.73 2.17 0.00 (in μB per formula unit, following the order of the records).
Results for N(E_F): 19.9 20.9 9.5 17.7 21.7 8.0 (in states/eV per cell, following the order of the records).